Tl2CrOsO8: relaxed, PBE+U.

a = 5.0035 Å, b = 4.9958 Å, c = 6.4085 Å
α = 90.00°, β = 90.00°, γ = 92.89°
Site moments in Bohr magnetons follow the coordinates.
Fractional positions:
Tl1 0.5000 0.5000 0.7440  0.02
Tl2 0.5000 0.5000 0.2560  0.02
Os1 0.0000 0.0000 0.0000  0.63
O1 0.2852 0.2823 0.5000  0.01
O2 0.1685 0.8295 0.2297  0.01
O3 0.8315 0.1705 0.2297  0.01
O4 0.7226 0.7248 0.0000  0.01
O5 0.8315 0.1705 0.7703  0.01
O6 0.1685 0.8295 0.7703  0.01
O7 0.2774 0.2752 0.0000  0.01
O8 0.7148 0.7177 0.5000  0.01
Cr1 0.0000 0.0000 0.5000  3.02

Values from the calculation:
As for the space group: P2/m (10). The calculation puts the uncorrected energy at -6.166 eV per atom. Its density of states at the Fermi level is 1.36 states/eV/f.u. The value obtained for the calculated volume is 160.0 Å³ per cell.